The following is a PBE calculation of an optimized crystal structure of Ag3Ru, from Alexandria via LeMat-Bulk.

Unit cell a=5.024 b=5.024 c=11.587 alpha=149.84 beta=149.84 gamma=31.36
Fractional coordinates of all 4 atoms:
Ag: 0.000 0.000 0.750
Ag: 0.009 0.009 0.006
Ag: 0.991 0.991 0.494
Ru: 0.000 0.000 0.250

formation energy from the elements = 0.42 eV per atom
crystal system = monoclinic

The following is a PBE calculation of an optimized crystal structure of AgRu4, from Alexandria via LeMat-Bulk.

Unit cell a=6.287 b=6.287 c=6.287 alpha=144.75 beta=144.75 gamma=50.71
Fractional coordinates of all 5 atoms:
Ru: 0.603 0.603 0.000
Ru: 0.397 0.397 0.000
Ru: 0.250 0.750 0.500
Ru: 0.750 0.250 0.500
Ag: 0.000 0.000 0.000

formation energy from the elements = 0.62 eV per atom
ΔE to the lowest computed polymorph = 1.04 eV/f.u.
crystal system = tetragonal